[1]
KNi2Pt | GGA-PBE | relaxed

Summary:
energy = -0.3019 Ry per atom
ΔH_f (0 K) = 568 meV per atom

abc: 5.9581 5.9581 5.9581
angles: 153.92 126.87 60.12
Last column: nearest neighbours and their distance in Å.
Sites, in units of the cell vectors:
K  0.2500  0.7500  0.5000  2 K 2.69, 4 Pt 2.98
Ni  0.9570  0.9570  0.0000  2 Pt 2.52, 2 Ni 2.69
Ni  0.5430  0.5430  0.0000  2 Pt 2.52, 2 Ni 2.69
Pt  0.7500  0.2500  0.5000  4 Ni 2.52, 2 Pt 2.69

***

[2]
SrCr3B | GGA-PBE | relaxed

Summary:
energy = -0.3172 Ry per atom
ΔH_f (0 K) = 3130 meV per atom

abc: 5.7601 5.7601 5.7601
angles: 90.00 90.00 90.00
Last column: nearest neighbours and their distance in Å.
Sites, in units of the cell vectors:
Sr  0.0000  0.0000  0.0000  6 Cr 2.88
B  0.5000  0.5000  0.5000  12 Cr 4.07
Cr  0.0000  0.5000  0.0000  2 Sr 2.88
Cr  0.0000  0.0000  0.5000  2 Sr 2.88
Cr  0.5000  0.0000  0.0000  2 Sr 2.88

***

[3]
RbSr2Tc2 | GGA-PBE | relaxed

Summary:
energy = -0.3076 Ry per atom
ΔH_f (0 K) = 828 meV per atom

abc: 9.5504 9.5504 3.4962
angles: 90.00 90.00 90.00
Last column: nearest neighbours and their distance in Å.
Sites, in units of the cell vectors:
Sr  0.1867  0.6867  0.5000  6 Tc 3.25-3.60, 2 Sr 3.50
Sr  0.6867  0.8133  0.5000  6 Tc 3.25-3.60, 2 Sr 3.50
Sr  0.8133  0.3133  0.5000  6 Tc 3.25-3.60, 2 Sr 3.50
Sr  0.3133  0.1867  0.5000  6 Tc 3.25-3.60, 2 Sr 3.50
Tc  0.4199  0.9199  0.0000  1 Tc 2.16
Tc  0.9199  0.5801  0.0000  1 Tc 2.16
Tc  0.5801  0.0801  0.0000  1 Tc 2.16
Tc  0.0801  0.4199  0.0000  1 Tc 2.16
Rb  0.0000  0.0000  0.0000  2 Rb 3.50, 8 Sr 3.90
Rb  0.5000  0.5000  0.0000  2 Rb 3.50, 8 Sr 3.90

***

[4]
Cs2LiSe | GGA-PBE | relaxed

Summary:
formation energy from raw total energies = -427.0 meV/atom
energy = -0.1619 Ry per atom

abc: 6.1983 6.1983 6.1983
angles: 60.00 60.00 60.00
Last column: nearest neighbours and their distance in Å.
Sites, in units of the cell vectors:
Cs  0.2500  0.2500  0.2500  4 Se 3.80, 4 Li 3.80
Cs  0.7500  0.7500  0.7500  4 Se 3.80, 4 Li 3.80
Se  0.5000  0.5000  0.5000  8 Cs 3.80
Li  0.0000  0.0000  0.0000  8 Cs 3.80

***

[5]
PmTh2Bi3 | GGA-PBE | relaxed

Summary:
energy = -0.4337 Ry per atom
ΔH_f (0 K) = -695 meV per atom

abc: 4.5852 6.4906 7.9593
angles: 114.06 106.74 90.00
Last column: nearest neighbours and their distance in Å.
Sites, in units of the cell vectors:
Pm  0.5000  0.5000  0.5000  6 Bi 3.24-3.25
Th  0.8336  0.8336  0.1671  6 Bi 3.24-3.26
Th  0.1664  0.1664  0.8329  6 Bi 3.24-3.26
Bi  0.8343  0.3343  0.1686  2 Pm 3.24, 4 Th 3.25-3.26
Bi  0.1657  0.6657  0.8314  2 Pm 3.24, 4 Th 3.25-3.26
Bi  0.5000  0.0000  0.5000  4 Th 3.24, 2 Pm 3.25

***

[6]
CaSiH | GGA-PBE | relaxed

Summary:
energy = -0.2696 Ry per atom

abc: 4.2098 5.1017 6.0395
angles: 102.10 90.00 114.37
Last column: nearest neighbours and their distance in Å.
Sites, in units of the cell vectors:
H  0.3762  0.7524  0.3331  1 Si 1.59
H  0.6238  0.2476  0.6669  1 Si 1.59
Ca  0.1099  0.2198  0.8120  2 H 2.30
Ca  0.8901  0.7802  0.1880  2 H 2.30
Si  0.2140  0.4281  0.3790  1 H 1.59
Si  0.7860  0.5719  0.6210  1 H 1.59

***

[7]
Y3CrTe | GGA-PBE | relaxed

Summary:
formation energy from raw total energies = 105.4 meV/atom
energy = -0.4650 Ry per atom

abc: 5.2042 5.2042 5.2042
angles: 90.00 90.00 90.00
Last column: nearest neighbours and their distance in Å.
Sites, in units of the cell vectors:
Y  0.0000  0.5000  0.0000  2 Cr 2.60
Y  0.0000  0.0000  0.5000  2 Cr 2.60
Y  0.5000  0.0000  0.0000  2 Cr 2.60
Cr  0.0000  0.0000  0.0000  6 Y 2.60
Te  0.5000  0.5000  0.5000  12 Y 3.68

***

[8]
NaSnBi | GGA-PBE | relaxed

Summary:
energy = -0.2331 Ry per atom
ΔH_f (0 K) = -104 meV per atom

abc: 5.4536 5.4536 7.0602
angles: 90.00 90.00 90.00
Last column: nearest neighbours and their distance in Å.
Sites, in units of the cell vectors:
Na  0.7500  0.7500  0.3102  1 Bi 3.25, 4 Sn 3.50
Na  0.2500  0.2500  0.6898  1 Bi 3.25, 4 Sn 3.50
Sn  0.2500  0.7500  0.0000  4 Bi 3.17, 4 Na 3.50
Sn  0.7500  0.2500  0.0000  4 Bi 3.17, 4 Na 3.50
Bi  0.2500  0.2500  0.2301  4 Sn 3.17, 1 Na 3.25
Bi  0.7500  0.7500  0.7699  4 Sn 3.17, 1 Na 3.25

***

[9]
TaCd3B | GGA-PBE | relaxed

Summary:
energy = -0.1629 Ry per atom
ΔH_f (0 K) = 2039 meV per atom

abc: 5.4491 5.4491 5.4491
angles: 90.00 90.00 90.00
Last column: nearest neighbours and their distance in Å.
Sites, in units of the cell vectors:
B  0.5000  0.5000  0.5000  12 Cd 3.85
Cd  0.0000  0.5000  0.0000  2 Ta 2.72
Cd  0.0000  0.0000  0.5000  2 Ta 2.72
Cd  0.5000  0.0000  0.0000  2 Ta 2.72
Ta  0.0000  0.0000  0.0000  6 Cd 2.72

***

[10]
KSr2CaAg | GGA-PBE | relaxed

Summary:
energy = -0.1411 Ry per atom
ΔH_f (0 K) = -57 meV per atom

abc: 6.3311 6.3311 6.0410
angles: 90.00 90.00 90.00
Last column: nearest neighbours and their distance in Å.
Sites, in units of the cell vectors:
Sr  0.0000  0.5000  0.0000  2 Ag 3.17
Sr  0.5000  0.0000  0.0000  2 Ag 3.17
Ca  0.0000  0.0000  0.5000  2 Ag 3.02
K  0.5000  0.5000  0.5000  8 Sr 4.38, 4 Ca 4.48
Ag  0.0000  0.0000  0.0000  2 Ca 3.02, 4 Sr 3.17

***

[11]
LaPm8Dy5 | GGA-PBE | relaxed

Summary:
energy = -0.3293 Ry per atom
ΔH_f (0 K) = 230 meV per atom

abc: 8.5711 8.5711 8.5711
angles: 111.86 104.80 111.86
Last column: nearest neighbours and their distance in Å.
Sites, in units of the cell vectors:
La  0.2500  0.5000  0.7500  4 Pm 3.20
Pm  0.1667  0.7365  0.0741  1 La 3.20, 4 Dy 3.21-3.55
Pm  0.9259  0.0926  0.6624  1 La 3.20, 4 Dy 3.21-3.55
Pm  0.7183  0.2518  0.3232  5 Dy 3.37-3.59, 3 Pm 3.63-3.66
Pm  0.6768  0.3951  0.9286  5 Dy 3.37-3.59, 3 Pm 3.63-3.66
Pm  0.5335  0.6049  0.2817  5 Dy 3.37-3.59, 3 Pm 3.63-3.66
Pm  0.5698  0.9074  0.8333  1 La 3.20, 4 Dy 3.21-3.55
Pm  0.3376  0.2635  0.4302  1 La 3.20, 4 Dy 3.21-3.55
Pm  0.0714  0.7482  0.4665  5 Dy 3.37-3.59, 3 Pm 3.63-3.66
Dy  0.0396  0.3171  0.1348  8 Pm 3.40-3.63, 2 Dy 3.51
Dy  0.8652  0.9048  0.1823  8 Pm 3.40-3.63, 2 Dy 3.51
Dy  0.8177  0.6829  0.7224  8 Pm 3.40-3.63, 2 Dy 3.51
Dy  0.5000  0.0000  0.5000  8 Pm 3.21-3.37
Dy  0.2776  0.0952  0.9605  8 Pm 3.40-3.63, 2 Dy 3.51

***

[12]
Mg2RePb | GGA-PBE | relaxed

Summary:
energy = -0.3219 Ry per atom
ΔH_f (0 K) = 457 meV per atom

abc: 3.5822 3.5822 6.1097
angles: 90.00 90.00 90.00
Last column: nearest neighbours and their distance in Å.
Sites, in units of the cell vectors:
Mg  0.0000  0.0000  0.9805  1 Pb 2.82, 4 Re 2.86, 4 Mg 2.99
Mg  0.5000  0.5000  0.2390  2 Re 2.91-3.20, 4 Mg 2.99, 4 Pb 3.06
Pb  0.0000  0.0000  0.5185  5 Mg 2.82-3.06, 4 Re 2.94
Re  0.5000  0.5000  0.7620  6 Mg 2.86-3.20, 4 Pb 2.94

***

[13]
Sm2Al3Ag2 | GGA-PBE | relaxed

Summary:
energy = -0.3046 Ry per atom
ΔH_f (0 K) = -377 meV per atom

abc: 4.4928 5.8518 6.8510
angles: 112.79 90.00 112.57
Last column: nearest neighbours and their distance in Å.
Sites, in units of the cell vectors:
Sm  0.8486  0.6971  0.2235  4 Ag 3.14-3.26, 7 Al 3.14-3.49
Sm  0.1514  0.3029  0.7765  4 Ag 3.14-3.26, 7 Al 3.14-3.49
Al  0.5000  0.0000  0.0000  2 Al 2.68, 4 Ag 2.86
Al  0.5978  0.1956  0.4294  2 Al 2.67-2.68, 3 Ag 2.72-2.73
Al  0.4022  0.8044  0.5706  2 Al 2.67-2.68, 3 Ag 2.72-2.73
Ag  0.8549  0.7098  0.7521  5 Al 2.72-2.86
Ag  0.1451  0.2902  0.2479  5 Al 2.72-2.86

***

[14]
LaTiS2N | GGA-PBE | relaxed

Summary:
formation energy from raw total energies = -1388.2 meV/atom
energy = -0.5342 Ry per atom

abc: 4.8391 4.8391 3.8898
angles: 90.00 90.00 90.00
Last column: nearest neighbours and their distance in Å.
Sites, in units of the cell vectors:
N  0.0000  0.0000  0.5000  2 Ti 1.94
S  0.0000  0.5000  0.0000  2 Ti 2.42
S  0.5000  0.0000  0.0000  2 Ti 2.42
Ti  0.0000  0.0000  0.0000  2 N 1.94
La  0.5000  0.5000  0.5000  8 S 3.10, 4 N 3.42

***

[15]
Sr3MgOs2O9 | GGA-PBE | relaxed

Summary:
formation energy from raw total energies = -2069.2 meV/atom
energy = -0.5133 Ry per atom

abc: 5.6301 5.6301 6.8883
angles: 90.00 90.00 120.00
Last column: nearest neighbours and their distance in Å.
Sites, in units of the cell vectors:
Sr  0.3333  0.6667  0.6466  12 O 2.71-2.93
Sr  0.0000  0.0000  0.0000  12 O 2.80-2.82
Sr  0.6667  0.3333  0.3534  12 O 2.71-2.93
Mg  0.0000  0.0000  0.5000  6 O 2.06
Os  0.3333  0.6667  0.1606  6 O 1.95-1.97
Os  0.6667  0.3333  0.8394  6 O 1.95-1.97
O  0.8284  0.1716  0.6735  1 Os 1.95, 1 Mg 2.06
O  0.8284  0.6568  0.6735  1 Os 1.95, 1 Mg 2.06
O  0.3432  0.1716  0.6735  1 Os 1.95, 1 Mg 2.06
O  0.6568  0.8284  0.3265  1 Os 1.95, 1 Mg 2.06
O  0.1716  0.3432  0.3265  1 Os 1.95, 1 Mg 2.06
O  0.1716  0.8284  0.3265  1 Os 1.95, 1 Mg 2.06
O  0.5000  0.0000  0.0000  2 Os 1.97
O  0.0000  0.5000  0.0000  2 Os 1.97
O  0.5000  0.5000  0.0000  2 Os 1.97

***

[16]
NiOsSe6 | GGA-PBE | relaxed

Summary:
formation energy from raw total energies = -93.3 meV/atom
energy = -0.3552 Ry per atom

abc: 5.8705 6.0121 7.4231
angles: 51.42 72.17 68.87
Last column: nearest neighbours and their distance in Å.
Sites, in units of the cell vectors:
Ni  0.0000  0.0000  0.0000  4 Se 2.32-2.36
Os  0.5000  0.5000  0.5000  6 Se 2.47-2.49
Se  0.0699  0.4478  0.6668  1 Ni 2.32, 1 Se 2.48, 1 Os 2.49
Se  0.6772  0.0334  0.8520  1 Ni 2.36, 1 Se 2.45, 1 Os 2.49
Se  0.5405  0.2270  0.3419  1 Se 2.33, 1 Os 2.47
Se  0.3228  0.9666  0.1480  1 Ni 2.36, 1 Se 2.45, 1 Os 2.49
Se  0.9301  0.5522  0.3332  1 Ni 2.32, 1 Se 2.48, 1 Os 2.49
Se  0.4595  0.7730  0.6581  1 Se 2.33, 1 Os 2.47

***

[17]
TmMgBi2 | GGA-PBE | relaxed

Summary:
energy = -0.2733 Ry per atom
ΔH_f (0 K) = -261 meV per atom

abc: 5.4115 5.4115 5.4115
angles: 60.00 60.00 60.00
Last column: nearest neighbours and their distance in Å.
Sites, in units of the cell vectors:
Mg  0.5000  0.5000  0.5000  8 Bi 3.31
Tm  0.0000  0.0000  0.0000  8 Bi 3.31
Bi  0.2500  0.2500  0.2500  4 Mg 3.31, 4 Tm 3.31
Bi  0.7500  0.7500  0.7500  4 Tm 3.31, 4 Mg 3.31

***

[18]
CaSb2Ru | GGA-PBE | relaxed

Summary:
formation energy from raw total energies = -168.7 meV/atom
energy = -0.3711 Ry per atom

abc: 3.3045 3.3045 8.8223
angles: 90.00 90.00 90.00
Last column: nearest neighbours and their distance in Å.
Sites, in units of the cell vectors:
Sb  0.0000  0.0000  0.9248  4 Ru 2.70
Sb  0.5000  0.5000  0.2617  4 Sb 3.30, 4 Ca 3.40
Ca  0.0000  0.0000  0.5417  4 Ru 3.10, 4 Ca 3.30, 5 Sb 3.38-3.40
Ru  0.5000  0.5000  0.7718  4 Sb 2.70